Entry 1:
Below is Dy4GeRh3 after structural relaxation, with properties calculated at the PBE level.

Cell lengths 3.8322, 4.2603, 10.6257 Å; angles 90.00, 90.00, 90.00 degrees
With the nearest neighbours (Å) after each atom.
Sites, in units of the cell vectors:
1 Ge 0.5000 0.5000 0.0744  2 Rh 2.65, 4 Dy 2.96
2 Dy 0.5000 0.0000 0.6398  7 Rh 2.92-3.09
3 Dy 0.0000 0.0000 0.1443  3 Rh 2.84-3.01, 4 Ge 2.96
4 Dy 0.0000 0.5000 0.8525  5 Rh 2.83-2.97, 2 Ge 3.04
5 Dy 0.5000 0.5000 0.3660  6 Rh 2.91-3.02, 1 Ge 3.10
6 Rh 0.5000 0.0000 0.9258  2 Ge 2.65, 4 Dy 2.97
7 Rh 0.0000 0.5000 0.5857  2 Rh 2.82, 7 Dy 2.83-3.02
8 Rh 0.0000 0.0000 0.4115  2 Rh 2.82, 7 Dy 2.84-3.09

- Uncorrected energy: -51.8 eV for the cell shown
- ΔH_f (0 K): -845 meV/atom
- SG: Pmm2
- M_tot: 0.00 μB per formula unit

***

Entry 2:
Below is LiAlRe2 after structural relaxation, with properties calculated at the PBE level.

Cell lengths 2.7055, 2.7055, 9.0693 Å; angles 90.00, 90.00, 113.97 degrees
With the nearest neighbours (Å) after each atom.
Sites, in units of the cell vectors:
1 Re 0.0000 0.0000 0.0076  6 Re 2.62-2.71, 2 Li 2.77
2 Re 0.5000 0.5000 0.2469  6 Re 2.62-2.71, 2 Al 2.70
3 Li 0.5000 0.5000 0.7494  6 Li 2.71-2.95, 2 Al 2.73, 2 Re 2.77
4 Al 0.0000 0.0000 0.4961  2 Re 2.70, 6 Al 2.71-2.95, 2 Li 2.73

- Uncorrected energy: -30.1 eV for the cell shown
- ΔH_f (0 K): 112 meV/atom
- SG: Cmm2
- M_tot: 0.00 μB per formula unit

***

Entry 3:
Below is ScCr2Fe after structural relaxation, with properties calculated at the PBE level.

Cell lengths 2.6516, 2.6516, 8.1835 Å; angles 90.00, 90.00, 109.94 degrees
With the nearest neighbours (Å) after each atom.
Sites, in units of the cell vectors:
1 Sc 0.5000 0.5000 0.7461  4 Sc 2.65, 2 Fe 2.69, 2 Cr 2.78
2 Fe 0.0000 0.0000 0.4745  2 Cr 2.40, 4 Fe 2.65
3 Cr 0.0000 0.0000 0.0310  2 Cr 2.34
4 Cr 0.5000 0.5000 0.2485  2 Cr 2.34, 2 Fe 2.40

- Uncorrected energy: -32.9 eV for the cell shown
- ΔH_f (0 K): 284 meV/atom
- SG: Cmm2
- M_tot: 1.44 μB per formula unit

***

Entry 4:
Below is YFeI2N after structural relaxation, with properties calculated at the PBE level.

Cell lengths 6.1444, 6.1444, 4.0987 Å; angles 90.00, 90.00, 90.00 degrees
With the nearest neighbours (Å) after each atom.
Sites, in units of the cell vectors:
1 N 0.0000 0.0000 0.5000  2 Y 2.05
2 I 0.0000 0.5000 0.0000  2 Y 3.07
3 I 0.5000 0.0000 0.0000  2 Y 3.07
4 Y 0.0000 0.0000 0.0000  2 N 2.05
5 Fe 0.5000 0.5000 0.5000  8 I 3.69, 2 Fe 4.10

- Uncorrected energy: -24.3 eV for the cell shown
- ΔE_f (raw): 39.2 kJ per mole of atoms
- SG: P4/mmm
- M_tot: 3.68 μB per formula unit